DFT (GGA-PBE) results for crystalline ReAg2Te at its relaxed geometry.

E_form (uncorrected)	700.2	meV per atom
N(E_F)	4.3	states/eV per cell
size of the total moment	0.715	μB per formula unit

a = 10.520 Å, b = 10.520 Å, c = 10.520 Å
α = 16.18°, β = 16.18°, γ = 16.18°
Fractional coordinates of all 4 atoms:
Re (0.000, 0.000, 0.000)
Ag (0.259, 0.259, 0.259)
Ag (0.741, 0.741, 0.741)
Te (0.500, 0.500, 0.500)

---

DFT (GGA-PBE) results for crystalline Tl2ReAgTe at its relaxed geometry.

E_form (uncorrected)	980.6	meV per atom
N(E_F)	3.3	states/eV per cell
size of the total moment	2.665	μB per formula unit

a = 5.371 Å, b = 5.371 Å, c = 5.288 Å
α = 90.00°, β = 90.00°, γ = 90.00°
Fractional coordinates of all 5 atoms:
Tl (0.000, 0.500, 0.000)
Tl (0.500, 0.000, 0.000)
Re (0.000, 0.000, 0.000)
Ag (0.000, 0.000, 0.500)
Te (0.500, 0.500, 0.500)

---

DFT (GGA-PBE) results for crystalline Zr2ReAgTe at its relaxed geometry.

E_form (uncorrected)	1278.9	meV per atom
N(E_F)	5.1	states/eV per cell
size of the total moment	0.004	μB per formula unit

a = 5.105 Å, b = 5.105 Å, c = 4.865 Å
α = 90.00°, β = 90.00°, γ = 90.00°
Fractional coordinates of all 5 atoms:
Zr (0.000, 0.500, 0.000)
Zr (0.500, 0.000, 0.000)
Re (0.000, 0.000, 0.500)
Ag (0.000, 0.000, 0.000)
Te (0.500, 0.500, 0.500)

---

DFT (GGA-PBE) results for crystalline Th2ReAg at its relaxed geometry.

energy of formation	-0.029	eV per atom
N(E_F)	3.6	states/eV per cell
size of the total moment	0.000	μB per formula unit

a = 3.494 Å, b = 3.494 Å, c = 8.133 Å
α = 90.00°, β = 90.00°, γ = 90.00°
Fractional coordinates of all 4 atoms:
Th (0.000, 0.000, 0.222)
Th (0.000, 0.000, 0.778)
Re (0.500, 0.500, 0.000)
Ag (0.500, 0.500, 0.500)

---

DFT (GGA-PBE) results for crystalline Th2ReAg at its relaxed geometry.

energy of formation	0.719	eV per atom
N(E_F)	4.0	states/eV per cell
size of the total moment	0.000	μB per formula unit

a = 10.829 Å, b = 10.829 Å, c = 10.829 Å
α = 17.56°, β = 17.56°, γ = 17.56°
Fractional coordinates of all 4 atoms:
Th (0.081, 0.081, 0.081)
Th (0.919, 0.919, 0.919)
Re (0.000, 0.000, 0.000)
Ag (0.500, 0.500, 0.500)

---

DFT (GGA-PBE) results for crystalline Th2ReAg at its relaxed geometry.

energy of formation	0.067	eV per atom
N(E_F)	5.8	states/eV per cell
size of the total moment	0.000	μB per formula unit

a = 5.170 Å, b = 5.170 Å, c = 5.170 Å
α = 60.00°, β = 60.00°, γ = 60.00°
Fractional coordinates of all 4 atoms:
Th (0.250, 0.250, 0.250)
Th (0.750, 0.750, 0.750)
Re (0.000, 0.000, 0.000)
Ag (0.500, 0.500, 0.500)

---

DFT (GGA-PBE) results for crystalline ThZrReAg at its relaxed geometry.

energy of formation	0.045	eV per atom
N(E_F)	5.8	states/eV per cell
size of the total moment	0.000	μB per formula unit

a = 4.974 Å, b = 4.974 Å, c = 4.974 Å
α = 60.00°, β = 60.00°, γ = 60.00°
Fractional coordinates of all 4 atoms:
Th (0.000, 0.000, 0.000)
Zr (0.500, 0.500, 0.500)
Re (0.250, 0.250, 0.250)
Ag (0.750, 0.750, 0.750)

---

DFT (GGA-PBE) results for crystalline TiReAg3 at its relaxed geometry.

energy of formation	1.990	eV per atom
N(E_F)	5.4	states/eV per cell
size of the total moment	4.909	μB per formula unit

a = 4.884 Å, b = 4.884 Å, c = 4.884 Å
α = 90.00°, β = 90.00°, γ = 90.00°
Fractional coordinates of all 5 atoms:
Ti (0.000, 0.000, 0.000)
Re (0.500, 0.500, 0.500)
Ag (0.000, 0.000, 0.500)
Ag (0.000, 0.500, 0.000)
Ag (0.500, 0.000, 0.000)

---

DFT (GGA-PBE) results for crystalline Ti3ReAg at its relaxed geometry.

energy of formation	0.660	eV per atom
N(E_F)	9.7	states/eV per cell
size of the total moment	1.318	μB per formula unit

a = 4.762 Å, b = 4.762 Å, c = 4.762 Å
α = 90.00°, β = 90.00°, γ = 90.00°
Fractional coordinates of all 5 atoms:
Ti (0.000, 0.000, 0.500)
Ti (0.000, 0.500, 0.000)
Ti (0.500, 0.000, 0.000)
Re (0.000, 0.000, 0.000)
Ag (0.500, 0.500, 0.500)

---

DFT (GGA-PBE) results for crystalline TiReAg at its relaxed geometry.

energy of formation	0.129	eV per atom
N(E_F)	4.6	states/eV per cell
size of the total moment	0.000	μB per formula unit

a = 14.075 Å, b = 2.735 Å, c = 2.735 Å
α = 67.21°, β = 90.00°, γ = 90.00°
Fractional coordinates of all 6 atoms:
Ti (0.000, 0.000, 0.000)
Ti (0.500, 0.452, 0.452)
Re (0.347, 0.952, 0.952)
Re (0.653, 0.952, 0.952)
Ag (0.172, 0.572, 0.572)
Ag (0.828, 0.572, 0.572)

---

DFT (GGA-PBE) results for crystalline TiReAg3 at its relaxed geometry.

energy of formation	1.798	eV per atom
N(E_F)	7.6	states/eV per cell
size of the total moment	0.000	μB per formula unit

a = 4.955 Å, b = 4.955 Å, c = 4.955 Å
α = 90.00°, β = 90.00°, γ = 90.00°
Fractional coordinates of all 5 atoms:
Ti (0.000, 0.000, 0.000)
Re (0.500, 0.500, 0.500)
Ag (0.000, 0.500, 0.500)
Ag (0.500, 0.000, 0.500)
Ag (0.500, 0.500, 0.000)

---

DFT (GGA-PBE) results for crystalline TiV2ReAg at its relaxed geometry.

energy of formation	1.270	eV per atom
N(E_F)	6.8	states/eV per cell
size of the total moment	0.000	μB per formula unit

a = 4.489 Å, b = 4.489 Å, c = 5.050 Å
α = 90.00°, β = 90.00°, γ = 90.00°
Fractional coordinates of all 5 atoms:
Ti (0.000, 0.000, 0.000)
V (0.000, 0.500, 0.500)
V (0.500, 0.000, 0.500)
Re (0.500, 0.500, 0.500)
Ag (0.500, 0.500, 0.000)

---

- Look up the size of the total moment of the first one.
  0.715 μB per formula unit

---

- N(E_F) of number 2 (Tl2ReAgTe)?
  3.3 states/eV per cell

---

- Look up the size of the total moment of the third one.
  0.004 μB per formula unit